(1)
This record from Alexandria via LeMat-Bulk describes Li3Nd3SbS8 after structural relaxation. The functional is PBE.

Cell lengths 7.732, 7.732, 7.732 Å; angles 62.94, 62.94, 62.94 degrees
Sites, in units of the cell vectors:
Li (0.000, 0.500, 0.500)
Li (0.500, 0.000, 0.500)
Li (0.500, 0.500, 0.000)
Nd (0.000, 0.000, 0.500)
Nd (0.000, 0.500, 0.000)
Nd (0.500, 0.000, 0.000)
Sb (0.500, 0.500, 0.500)
S (0.252, 0.252, 0.252)
S (0.263, 0.263, 0.728)
S (0.263, 0.728, 0.263)
S (0.272, 0.737, 0.737)
S (0.728, 0.263, 0.263)
S (0.737, 0.272, 0.737)
S (0.737, 0.737, 0.272)
S (0.748, 0.748, 0.748)

Computed properties:
As for the formation energy from raw total energies: -1.45 eV per atom. For the final energy, the calculation gives -5.2578 eV per atom. Its symmetry is R-3m (166).



(2)
This record from Alexandria via LeMat-Bulk describes Li2NdSbS4 after structural relaxation. The functional is PBE.

Cell lengths 6.630, 3.984, 6.920 Å; angles 90.00, 110.27, 90.00 degrees
Sites, in units of the cell vectors:
Li (0.000, 0.000, 0.000)
Li (0.000, 0.500, 0.500)
Nd (0.500, 0.000, 0.500)
Sb (0.500, 0.500, 0.000)
S (0.244, 0.000, 0.754)
S (0.244, 0.500, 0.240)
S (0.756, 0.000, 0.246)
S (0.756, 0.500, 0.760)

Computed properties:
As for the formation energy from raw total energies: -1.21 eV per atom. For the final energy, the calculation gives -4.8658 eV per atom. Its symmetry is P2/m (10).



(3)
This record from Alexandria via LeMat-Bulk describes LiNd2SbS6 after structural relaxation. The functional is PBE.

Cell lengths 6.559, 7.192, 11.293 Å; angles 90.00, 123.92, 90.00 degrees
Sites, in units of the cell vectors:
Li (0.000, 0.000, 0.000)
Li (0.000, 0.500, 0.500)
Nd (0.210, 0.102, 0.748)
Nd (0.210, 0.398, 0.248)
Nd (0.790, 0.602, 0.752)
Nd (0.790, 0.898, 0.252)
Sb (0.500, 0.000, 0.500)
Sb (0.500, 0.500, 0.000)
S (0.125, 0.180, 0.443)
S (0.125, 0.320, 0.943)
S (0.266, 0.691, 0.442)
S (0.266, 0.809, 0.942)
S (0.379, 0.035, 0.249)
S (0.379, 0.465, 0.749)
S (0.621, 0.535, 0.251)
S (0.621, 0.965, 0.751)
S (0.734, 0.191, 0.058)
S (0.734, 0.309, 0.558)
S (0.875, 0.680, 0.057)
S (0.875, 0.820, 0.557)

Computed properties:
As for the formation energy from raw total energies: -1.25 eV per atom. For the final energy, the calculation gives -5.2800 eV per atom. Its symmetry is P2_1/c (14).



(4)
This record from Alexandria via LeMat-Bulk describes LiNd4Sc3S8 after structural relaxation. The functional is PBE.

Cell lengths 7.807, 7.807, 7.807 Å; angles 59.43, 59.43, 59.43 degrees
Sites, in units of the cell vectors:
Li (0.000, 0.000, 0.000)
Nd (0.000, 0.000, 0.500)
Nd (0.000, 0.500, 0.000)
Nd (0.500, 0.000, 0.000)
Nd (0.500, 0.500, 0.500)
Sc (0.000, 0.500, 0.500)
Sc (0.500, 0.000, 0.500)
Sc (0.500, 0.500, 0.000)
S (0.240, 0.240, 0.740)
S (0.240, 0.740, 0.240)
S (0.260, 0.260, 0.260)
S (0.260, 0.760, 0.760)
S (0.740, 0.240, 0.240)
S (0.740, 0.740, 0.740)
S (0.760, 0.260, 0.760)
S (0.760, 0.760, 0.260)

Computed properties:
As for the formation energy from raw total energies: -1.90 eV per atom. For the final energy, the calculation gives -6.4598 eV per atom. Its symmetry is R-3m (166).



(5)
This record from Alexandria via LeMat-Bulk describes LiNdScS3 after structural relaxation. The functional is PBE.

Cell lengths 7.835, 3.790, 8.357 Å; angles 90.00, 104.51, 90.00 degrees
Sites, in units of the cell vectors:
Li (0.092, 0.250, 0.090)
Li (0.908, 0.750, 0.910)
Nd (0.198, 0.250, 0.731)
Nd (0.802, 0.750, 0.269)
Sc (0.336, 0.750, 0.343)
Sc (0.664, 0.250, 0.657)
S (0.104, 0.250, 0.370)
S (0.226, 0.750, 0.010)
S (0.443, 0.750, 0.667)
S (0.557, 0.250, 0.333)
S (0.774, 0.250, 0.990)
S (0.896, 0.750, 0.630)

Computed properties:
As for the formation energy from raw total energies: -1.78 eV per atom. For the final energy, the calculation gives -6.0089 eV per atom. Its symmetry is P2_1/m (11).



(6)
This record from Alexandria via LeMat-Bulk describes Li2NdSc3S6 after structural relaxation. The functional is PBE.

Cell lengths 6.481, 6.481, 6.664 Å; angles 99.36, 99.36, 120.02 degrees
Sites, in units of the cell vectors:
Li (0.168, 0.832, 0.000)
Li (0.832, 0.168, 0.000)
Nd (0.500, 0.500, 0.000)
Sc (0.000, 0.000, 0.500)
Sc (0.334, 0.666, 0.500)
Sc (0.666, 0.334, 0.500)
S (0.067, 0.412, 0.737)
S (0.244, 0.244, 0.264)
S (0.412, 0.067, 0.737)
S (0.588, 0.933, 0.263)
S (0.756, 0.756, 0.736)
S (0.933, 0.588, 0.263)

Computed properties:
As for the formation energy from raw total energies: -1.83 eV per atom. For the final energy, the calculation gives -6.1900 eV per atom. Its symmetry is C2/m (12).



- Which value of formation energy from raw total energies does entry 1 give?
  -1.45 eV per atom



- Which value of formation energy from raw total energies does entry 4 give?
  -1.90 eV per atom



- formation energy from raw total energies of number 5 (LiNdScS3)?
  -1.78 eV per atom



- What is the final energy in the third record?
  -5.2800 eV per atom